Record 1
Entry from Alexandria via LeMat-Bulk: crystalline Cu2OF2 at its relaxed geometry (GGA-PBE).

Lattice parameters (Å, degrees): 8.391 8.432 8.522 111.64 108.36 107.82
Positions (direct):
Cu (0.000, 0.000, 0.000)
Cu (0.001, 0.519, 0.575)
Cu (0.007, 0.774, 0.330)
Cu (0.194, 0.459, 0.248)
Cu (0.215, 0.736, 0.081)
Cu (0.231, 0.981, 0.782)
Cu (0.239, 0.298, 0.547)
Cu (0.439, 0.914, 0.475)
Cu (0.449, 0.251, 0.269)
Cu (0.485, 0.749, 0.813)
Cu (0.527, 0.567, 0.094)
Cu (0.673, 0.222, 0.035)
Cu (0.700, 0.523, 0.836)
Cu (0.737, 0.076, 0.359)
Cu (0.816, 0.815, 0.572)
Cu (0.989, 0.256, 0.783)
O (0.002, 0.279, 0.558)
O (0.011, 0.738, 0.544)
O (0.039, 0.047, 0.804)
O (0.190, 0.696, 0.288)
O (0.207, 0.230, 0.217)
O (0.435, 0.185, 0.025)
O (0.466, 0.956, 0.280)
O (0.490, 0.547, 0.857)
F (0.006, 0.852, 0.134)
F (0.228, 0.732, 0.856)
F (0.238, 0.081, 0.565)
F (0.249, 0.462, 0.017)
F (0.275, 0.537, 0.530)
F (0.430, 0.920, 0.713)
F (0.499, 0.338, 0.536)
F (0.569, 0.599, 0.349)
F (0.678, 0.998, 0.060)
F (0.711, 0.020, 0.622)
F (0.727, 0.332, 0.369)
F (0.738, 0.480, 0.072)
F (0.764, 0.763, 0.789)
F (0.797, 0.851, 0.308)
F (0.908, 0.267, 0.020)
F (0.922, 0.494, 0.838)

Output
M_tot in μB per cell: 7.53
Density in g/cm³: 5.2
Density of states at the Fermi level in states/eV per atom: 0.406
Excess energy over the best structure of this formula in the dataset in meV per atom: 26

Record 2
Entry from Alexandria via LeMat-Bulk: crystalline TaTiNF2 at its relaxed geometry (GGA-PBE).

Lattice parameters (Å, degrees): 4.141 4.141 4.077 90.00 90.00 90.00
Positions (direct):
Ta (0.000, 0.000, 0.000)
Ti (0.500, 0.500, 0.500)
N (0.000, 0.000, 0.500)
F (0.000, 0.500, 0.000)
F (0.500, 0.000, 0.000)

Output
M_tot in μB per cell: 3.29
Density in g/cm³: 6.7
Density of states at the Fermi level in states/eV per atom: 1.116
Excess energy over the best structure of this formula in the dataset in meV per atom: 0

Record 3
Entry from Alexandria via LeMat-Bulk: crystalline KAs at its relaxed geometry (GGA-PBE).

Lattice parameters (Å, degrees): 9.456 9.456 9.456 90.00 90.00 90.00
Positions (direct):
K (0.000, 0.250, 0.500)
K (0.000, 0.750, 0.500)
K (0.250, 0.500, 0.000)
K (0.500, 0.000, 0.250)
K (0.500, 0.000, 0.750)
K (0.750, 0.500, 0.000)
As (0.000, 0.500, 0.250)
As (0.000, 0.500, 0.750)
As (0.250, 0.000, 0.500)
As (0.500, 0.250, 0.000)
As (0.500, 0.750, 0.000)
As (0.750, 0.000, 0.500)

Output
M_tot in μB per cell: 12.00
ΔE_f in eV per atom: 0.560
Density in g/cm³: 1.3
Density of states at the Fermi level in states/eV per atom: 1.000
Excess energy over the best structure of this formula in the dataset in meV per atom: 1024

Record 4
Entry from Alexandria via LeMat-Bulk: crystalline ReMoAs2 at its relaxed geometry (GGA-PBE).

Lattice parameters (Å, degrees): 3.061 4.719 9.938 90.00 90.00 90.00
Positions (direct):
Re (0.000, 0.000, 0.000)
Re (0.500, 0.500, 0.000)
Mo (0.000, 0.500, 0.224)
Mo (0.500, 0.000, 0.224)
As (0.000, 0.000, 0.439)
As (0.000, 0.500, 0.788)
As (0.500, 0.000, 0.788)
As (0.500, 0.500, 0.439)

Output
M_tot in μB per cell: 0.00
ΔE_f in eV per atom: 0.276
Density in g/cm³: 10.0
Density of states at the Fermi level in states/eV per atom: 0.670
Excess energy over the best structure of this formula in the dataset in meV per atom: 232

Record 5
Entry from Alexandria via LeMat-Bulk: crystalline Mg3Al2Ag4 at its relaxed geometry (GGA-PBE).

Lattice parameters (Å, degrees): 5.576 5.576 8.529 120.54 120.54 48.71
Positions (direct):
Mg (0.000, 0.000, 0.000)
Mg (0.339, 0.339, 0.324)
Mg (0.661, 0.661, 0.676)
Al (0.375, 0.375, 0.706)
Al (0.625, 0.625, 0.294)
Ag (0.058, 0.058, 0.383)
Ag (0.295, 0.295, 0.946)
Ag (0.705, 0.705, 0.054)
Ag (0.942, 0.942, 0.617)

Output
M_tot in μB per cell: 0.00
ΔE_f in eV per atom: -0.133
Density in g/cm³: 5.6
Density of states at the Fermi level in states/eV per atom: 0.161
Excess energy over the best structure of this formula in the dataset in meV per atom: 22

Record 6
Entry from Alexandria via LeMat-Bulk: crystalline YSi4Pd4 at its relaxed geometry (GGA-PBE).

Lattice parameters (Å, degrees): 6.029 6.029 8.211 90.00 90.00 90.00
Positions (direct):
Y (0.250, 0.750, 0.250)
Y (0.750, 0.250, 0.750)
Si (0.048, 0.250, 0.071)
Si (0.250, 0.048, 0.571)
Si (0.250, 0.452, 0.571)
Si (0.452, 0.250, 0.071)
Si (0.548, 0.750, 0.929)
Si (0.750, 0.548, 0.429)
Si (0.750, 0.952, 0.429)
Si (0.952, 0.750, 0.929)
Pd (0.017, 0.250, 0.369)
Pd (0.250, 0.017, 0.869)
Pd (0.250, 0.483, 0.869)
Pd (0.483, 0.250, 0.369)
Pd (0.517, 0.750, 0.631)
Pd (0.750, 0.517, 0.131)
Pd (0.750, 0.983, 0.131)
Pd (0.983, 0.750, 0.631)

Output
M_tot in μB per cell: 0.00
Energy in eV for the cell shown: -109.012
Density in g/cm³: 7.0
Density of states at the Fermi level in states/eV per atom: 0.469